Record 1
This record from Alexandria describes a relaxed structure of Sr3InHg7. The functional is PBE-GGA.

POSCAR file:
```
Sr3InHg7
1.0
2.216 -11.143 0.000
2.216 11.143 0.000
0.000 0.000 13.865
Sr In Hg
6 2 14
Direct
0.098 0.902 0.544
0.098 0.902 0.956
0.237 0.763 0.250
0.763 0.237 0.750
0.902 0.098 0.044
0.902 0.098 0.456
0.046 0.954 0.250
0.954 0.046 0.750
0.289 0.711 0.034
0.289 0.711 0.466
0.361 0.639 0.645
0.361 0.639 0.855
0.391 0.609 0.250
0.494 0.506 0.613
0.494 0.506 0.887
0.506 0.494 0.113
0.506 0.494 0.387
0.609 0.391 0.750
0.639 0.361 0.145
0.639 0.361 0.355
0.711 0.289 0.534
0.711 0.289 0.966
```

## Properties
As for the total DFT energy (no corrections): -0.0458 Ha/atom. The calculation puts the calculated formation energy at -0.35 eV/atom.

***

Record 2
This record from Alexandria describes a relaxed structure of CsZn2BiBr8. The functional is PBE-GGA.

POSCAR file:
```
CsZn2BiBr8
1.0
3.463 1.999 10.722
-3.463 1.999 10.722
0.000 -3.999 10.722
Cs Zn Bi Br
1 2 1 8
Direct
0.000 0.000 0.000
0.245 0.245 0.245
0.755 0.755 0.755
0.500 0.500 0.500
0.112 0.438 0.790
0.210 0.888 0.562
0.319 0.319 0.319
0.438 0.790 0.112
0.562 0.210 0.888
0.681 0.681 0.681
0.790 0.112 0.438
0.888 0.562 0.210
```

## Properties
As for the total DFT energy (no corrections): -0.0992 Ha/atom. As for the formation energy from raw total energies: -0.98 eV/atom.

***

Record 3
This record from Alexandria describes a relaxed structure of Ti3GaPt. The functional is PBE-GGA.

POSCAR file:
```
Ti3GaPt
1.0
4.611 0.000 0.000
0.000 4.611 0.000
0.000 0.000 4.611
Ti Ga Pt
3 1 1
Direct
0.000 0.000 0.500
0.000 0.500 0.000
0.500 0.000 0.000
0.000 0.000 0.000
0.500 0.500 0.500
```

## Properties
As for the total DFT energy (no corrections): -0.2212 Ha/atom. The calculation puts the calculated formation energy at 0.53 eV/atom.

***

Record 4
This record from Alexandria describes a relaxed structure of Ho6C3S2. The functional is PBE-GGA.

POSCAR file:
```
Ho6C3S2
1.0
3.171 -5.490 0.000
3.171 5.490 0.000
-2.126 0.000 6.319
Ho C S
6 3 2
Direct
0.064 0.403 0.210
0.259 0.259 0.794
0.403 0.064 0.210
0.597 0.936 0.790
0.741 0.741 0.206
0.936 0.597 0.790
0.000 0.000 0.000
0.331 0.669 0.000
0.669 0.331 0.000
0.166 0.834 0.500
0.834 0.166 0.500
```

## Properties
As for the total DFT energy (no corrections): -0.2499 Ha/atom. As for the formation energy from raw total energies: -1.04 eV/atom.

***

Record 5
This record from Alexandria describes a relaxed structure of KCd2Pb. The functional is PBE-GGA.

POSCAR file:
```
KCd2Pb
1.0
3.453 0.000 0.000
-1.726 2.990 0.000
0.000 0.000 35.415
K Cd Pb
3 6 3
Direct
0.000 0.000 0.000
0.333 0.667 0.667
0.667 0.333 0.333
0.000 0.000 0.249
0.000 0.000 0.751
0.333 0.667 0.417
0.333 0.667 0.916
0.667 0.333 0.084
0.667 0.333 0.583
0.000 0.000 0.500
0.333 0.667 0.167
0.667 0.333 0.833
```

## Properties
As for the total DFT energy (no corrections): -0.0571 Ha/atom. The calculation puts the calculated formation energy at 0.11 eV/atom.

***

Record 6
This record from Alexandria describes a relaxed structure of V2ZnRh9. The functional is PBE-GGA.

POSCAR file:
```
V2ZnRh9
1.0
3.814 0.000 0.000
0.000 3.814 0.000
0.000 0.000 11.503
V Zn Rh
2 1 9
Direct
0.000 0.000 0.172
0.000 0.000 0.828
0.000 0.000 0.500
0.000 0.500 0.000
0.000 0.500 0.327
0.000 0.500 0.673
0.500 0.000 0.000
0.500 0.000 0.327
0.500 0.000 0.673
0.500 0.500 0.163
0.500 0.500 0.500
0.500 0.500 0.837
```

## Properties
As for the total DFT energy (no corrections): -0.2740 Ha/atom. The calculation puts the calculated formation energy at -0.32 eV/atom.

***

Record 7
This record from Alexandria describes a relaxed structure of CaLaSb2. The functional is PBE-GGA.

POSCAR file:
```
CaLaSb2
1.0
3.811 0.000 0.000
0.000 3.811 0.000
0.000 0.000 8.324
Ca La Sb
1 1 2
Direct
0.000 0.000 0.000
0.000 0.000 0.500
0.500 0.500 0.246
0.500 0.500 0.754
```

## Properties
As for the total DFT energy (no corrections): -0.1717 Ha/atom. As for the formation energy from raw total energies: -0.88 eV/atom.

***

Record 8
This record from Alexandria describes a relaxed structure of AcNpSi2. The functional is PBE-GGA.

POSCAR file:
```
AcNpSi2
1.0
4.622 0.000 0.000
-2.311 4.003 0.000
0.000 0.000 17.262
Ac Np Si
3 3 6
Direct
0.000 0.000 0.000
0.333 0.667 0.667
0.667 0.333 0.333
0.000 0.000 0.500
0.333 0.667 0.167
0.667 0.333 0.833
0.000 0.000 0.224
0.000 0.000 0.776
0.333 0.667 0.443
0.333 0.667 0.891
0.667 0.333 0.109
0.667 0.333 0.557
```

## Properties
As for the total DFT energy (no corrections): -0.2591 Ha/atom. As for the formation energy from raw total energies: -0.08 eV/atom.

***

Record 9
This record from Alexandria describes a relaxed structure of Ca2GaAg7. The functional is PBE-GGA.

POSCAR file:
```
Ca2GaAg7
1.0
0.000 5.030 5.030
5.030 0.000 5.030
5.030 5.030 0.000
Ca Ga Ag
2 1 7
Direct
0.250 0.250 0.250
0.750 0.750 0.750
0.000 0.000 0.000
0.243 0.243 0.757
0.243 0.757 0.243
0.243 0.757 0.757
0.500 0.500 0.500
0.757 0.243 0.243
0.757 0.243 0.757
0.757 0.757 0.243
```

## Properties
As for the total DFT energy (no corrections): -0.0953 Ha/atom. The calculation puts the calculated formation energy at 0.10 eV/atom.

***

Record 10
This record from Alexandria describes a relaxed structure of KCrCo. The functional is PBE-GGA.

POSCAR file:
```
KCrCo
1.0
7.121 0.000 0.000
0.000 7.121 0.000
0.000 0.000 7.121
K Cr Co
4 4 4
Direct
0.000 0.000 0.000
0.000 0.500 0.500
0.500 0.000 0.500
0.500 0.500 0.000
0.250 0.250 0.750
0.250 0.750 0.250
0.750 0.250 0.250
0.750 0.750 0.750
0.250 0.250 0.250
0.250 0.750 0.750
0.750 0.250 0.750
0.750 0.750 0.250
```

## Properties
As for the total DFT energy (no corrections): -0.1395 Ha/atom. The calculation puts the calculated formation energy at 2.15 eV/atom.

***

Record 11
This record from Alexandria describes a relaxed structure of La2NpH12Rh3. The functional is PBE-GGA.

POSCAR file:
```
La2NpH12Rh3
1.0
3.305 1.908 4.910
-3.305 1.908 4.910
0.000 -3.816 4.910
La Np H Rh
2 1 12 3
Direct
0.114 0.114 0.114
0.886 0.886 0.886
0.500 0.500 0.500
0.080 0.634 0.634
0.218 0.218 0.621
0.218 0.621 0.218
0.366 0.366 0.920
0.366 0.920 0.366
0.379 0.782 0.782
0.621 0.218 0.218
0.634 0.080 0.634
0.634 0.634 0.080
0.782 0.379 0.782
0.782 0.782 0.379
0.920 0.366 0.366
0.000 0.500 0.500
0.500 0.000 0.500
0.500 0.500 0.000
```

## Properties
As for the total DFT energy (no corrections): -0.1846 Ha/atom.

***

Record 12
This record from Alexandria describes a relaxed structure of ThGa4. The functional is PBE-GGA.

POSCAR file:
```
ThGa4
1.0
5.757 0.000 0.000
0.000 5.757 0.000
0.000 0.000 5.757
Th Ga
1 4
Direct
0.000 0.000 0.000
0.000 0.000 0.500
0.000 0.500 0.000
0.500 0.000 0.000
0.500 0.500 0.500
```

## Properties
As for the total DFT energy (no corrections): -0.1134 Ha/atom. The calculation puts the calculated formation energy at 0.82 eV/atom.